Computed, not measured: a relaxed Ca2HoTl4 crystal at the GGA-PBE level of DFT.

Properties
The formation energy comes out at -0.2830 eV/atom. The total energy comes out at -2.86 eV/atom. The theoretical density comes out at 8.2 g/cm³.

abc: 7.4433 7.4433 7.7991
angles: 90.00 90.00 90.00
With the nearest neighbours (Å) after each atom.
Space group I4/mmm (No. 139)
Asymmetric unit:
Ca1 0.0000 0.5000 0.0000 (multiplicity 4)  8 Tl 3.28
Ho1 0.0000 0.0000 0.0000 (multiplicity 2)  8 Tl 3.28
Tl1 0.2500 0.2500 0.2500 (multiplicity 8)  2 Ho 3.28, 4 Ca 3.28

Computed, not measured: a relaxed Ca2Ho3Tl4 crystal at the GGA-PBE level of DFT.

Properties
The formation energy comes out at -0.2146 eV/atom. The total energy comes out at -3.24 eV/atom. The theoretical density comes out at 8.3 g/cm³.

abc: 7.2335 17.0186 9.0303
angles: 90.00 90.00 90.00
With the nearest neighbours (Å) after each atom.
Space group Cmce (No. 64)
Asymmetric unit:
Ca1 0.0000 0.1088 0.0801 (multiplicity 8)  8 Tl 3.46-3.86, 2 Ho 3.78
Ho1 0.0000 0.0000 0.5000 (multiplicity 4)  6 Tl 2.97-3.16
Ho2 0.2500 0.2179 0.7500 (multiplicity 8)  5 Tl 3.04-3.21
Tl1 0.0000 0.1847 0.4628 (multiplicity 8)  5 Ho 3.12-3.21
Tl2 0.2500 0.0392 0.7500 (multiplicity 8)  3 Ho 2.97-3.04

Computed, not measured: a relaxed CaHo3Tl2 crystal at the GGA-PBE level of DFT.

Properties
The formation energy comes out at -0.1494 eV/atom. The total energy comes out at -3.56 eV/atom. The theoretical density comes out at 8.7 g/cm³.

abc: 16.2720 5.4413 9.2387
angles: 90.00 117.68 90.00
With the nearest neighbours (Å) after each atom.
Space group C2/m (No. 12)
Asymmetric unit:
Ca1 0.1347 0.0000 0.1842 (multiplicity 4)  5 Tl 3.26-3.50, 2 Ho 3.61
Ho1 0.0595 0.0000 0.7117 (multiplicity 4)  3 Tl 3.25-3.40, 3 Ho 3.47-3.49
Ho2 0.1142 0.5000 0.5356 (multiplicity 4)  3 Tl 2.96-3.16
Ho3 0.1907 0.5000 0.9891 (multiplicity 4)  2 Tl 3.07-3.30, 2 Ho 3.29
Tl1 0.0219 0.5000 0.1742 (multiplicity 4)  1 Tl 2.96, 2 Ho 2.96-3.07, 2 Ca 3.26
Tl2 0.2255 0.0000 0.6094 (multiplicity 4)  5 Ho 3.16-3.44, 3 Ca 3.49-3.50

Computed, not measured: a relaxed CaHo2Tl9 crystal at the GGA-PBE level of DFT.

Properties
The formation energy comes out at -0.2236 eV/atom. The total energy comes out at -2.93 eV/atom. The theoretical density comes out at 11.1 g/cm³.

abc: 4.7866 4.7866 14.3789
angles: 90.00 90.00 90.00
With the nearest neighbours (Å) after each atom.
Space group P4/mmm (No. 123)
Asymmetric unit:
Ca1 0.0000 0.0000 0.0000 (multiplicity 1)  12 Tl 3.38-3.43
Ho1 0.0000 0.0000 0.3390 (multiplicity 2)  12 Tl 3.33-3.40
Tl1 0.0000 0.5000 0.1707 (multiplicity 4)  8 Tl 3.35-3.43, 2 Ho 3.40, 2 Ca 3.43
Tl2 0.0000 0.5000 0.5000 (multiplicity 2)  4 Ho 3.33, 8 Tl 3.38-3.39
Tl3 0.5000 0.5000 0.0000 (multiplicity 1)  4 Ca 3.38, 8 Tl 3.43
Tl4 0.5000 0.5000 0.3332 (multiplicity 2)  8 Tl 3.35-3.39, 4 Ho 3.39

Computed, not measured: a relaxed CaHo3Tl4 crystal at the GGA-PBE level of DFT.

Properties
The formation energy comes out at -0.3602 eV/atom. The total energy comes out at -3.51 eV/atom. The theoretical density comes out at 10.2 g/cm³.

abc: 3.8105 3.8105 15.1603
angles: 90.00 90.00 90.00
With the nearest neighbours (Å) after each atom.
Space group P4/mmm (No. 123)
Asymmetric unit:
Ca1 0.0000 0.0000 0.0000 (multiplicity 1)  8 Tl 3.35
Ho1 0.0000 0.0000 0.2533 (multiplicity 2)  8 Tl 3.26-3.29
Ho2 0.0000 0.0000 0.5000 (multiplicity 1)  8 Tl 3.27
Tl1 0.5000 0.5000 0.1317 (multiplicity 2)  4 Ho 3.26, 4 Ca 3.35
Tl2 0.5000 0.5000 0.3782 (multiplicity 2)  8 Ho 3.27-3.29

Computed, not measured: a relaxed CaHoTl6 crystal at the GGA-PBE level of DFT.

Properties
The formation energy comes out at -0.2224 eV/atom. The total energy comes out at -2.82 eV/atom. The theoretical density comes out at 10.7 g/cm³.

abc: 4.7947 4.7947 9.6531
angles: 90.00 90.00 90.00
With the nearest neighbours (Å) after each atom.
Space group P4/mmm (No. 123)
Asymmetric unit:
Ca1 0.0000 0.0000 0.0000 (multiplicity 1)  12 Tl 3.39-3.43
Ho1 0.0000 0.0000 0.5000 (multiplicity 1)  12 Tl 3.38-3.39
Tl1 0.0000 0.5000 0.2538 (multiplicity 4)  8 Tl 3.38-3.43, 2 Ho 3.38, 2 Ca 3.43
Tl2 0.5000 0.5000 0.0000 (multiplicity 1)  4 Ca 3.39, 8 Tl 3.43
Tl3 0.5000 0.5000 0.5000 (multiplicity 1)  8 Tl 3.38, 4 Ho 3.39

Computed, not measured: a relaxed CaHo2TmTl4 crystal at the GGA-PBE level of DFT.

Properties
The formation energy comes out at -0.3368 eV/atom. The total energy comes out at -3.47 eV/atom. The theoretical density comes out at 10.3 g/cm³.

abc: 5.3713 5.3713 26.3397
angles: 90.00 90.00 120.00
With the nearest neighbours (Å) after each atom.
Space group R-3m (No. 166, hexagonal axes)
Asymmetric unit:
Ca1 0.0000 0.0000 0.0000 (multiplicity 3)  8 Tl 3.31-3.34
Ho1 0.0000 0.0000 0.2516 (multiplicity 6)  8 Tl 3.26-3.32
Tm1 0.0000 0.0000 0.5000 (multiplicity 3)  8 Tl 3.24-3.27
Tl1 0.0000 0.0000 0.1267 (multiplicity 6)  3 Tm 3.27, 4 Ho 3.29-3.32, 1 Ca 3.34
Tl2 0.0000 0.0000 0.3771 (multiplicity 6)  1 Tm 3.24, 4 Ho 3.26-3.30, 3 Ca 3.31

Computed, not measured: a relaxed CaY2HoTl4 crystal at the GGA-PBE level of DFT.

Properties
The formation energy comes out at -0.3692 eV/atom. The total energy comes out at -3.99 eV/atom. The theoretical density comes out at 9.0 g/cm³.

abc: 5.3919 5.3919 26.4819
angles: 90.00 90.00 120.00
With the nearest neighbours (Å) after each atom.
Space group R-3m (No. 166, hexagonal axes)
Asymmetric unit:
Ca1 0.0000 0.0000 0.0000 (multiplicity 3)  8 Tl 3.32-3.35
Y1 0.0000 0.0000 0.2520 (multiplicity 6)  8 Tl 3.27-3.33
Ho1 0.0000 0.0000 0.5000 (multiplicity 3)  8 Tl 3.26-3.29
Tl1 0.0000 0.0000 0.1265 (multiplicity 6)  3 Ho 3.29, 4 Y 3.33, 1 Ca 3.35
Tl2 0.0000 0.0000 0.3768 (multiplicity 6)  1 Ho 3.26, 4 Y 3.27-3.30, 3 Ca 3.32

Computed, not measured: a relaxed CaYHoTl crystal at the GGA-PBE level of DFT.

Properties
The formation energy comes out at -0.0445 eV/atom. The total energy comes out at -3.90 eV/atom. The theoretical density comes out at 7.0 g/cm³.

abc: 7.7931 7.7931 7.7931
angles: 90.00 90.00 90.00
With the nearest neighbours (Å) after each atom.
Space group F-43m (No. 216)
Asymmetric unit:
Ca1 0.0000 0.0000 0.0000 (multiplicity 4)  4 Ho 3.37, 4 Y 3.37
Y1 0.2500 0.2500 0.2500 (multiplicity 4)  4 Tl 3.37, 4 Ca 3.37
Ho1 0.2500 0.2500 0.7500 (multiplicity 4)  4 Tl 3.37, 4 Ca 3.37
Tl1 0.0000 0.0000 0.5000 (multiplicity 4)  4 Ho 3.37, 4 Y 3.37

Computed, not measured: a relaxed CaYHo2Tl4 crystal at the GGA-PBE level of DFT.

Properties
The formation energy comes out at -0.3581 eV/atom. The total energy comes out at -3.74 eV/atom. The theoretical density comes out at 9.6 g/cm³.

abc: 5.3826 5.3826 26.4585
angles: 90.00 90.00 120.00
With the nearest neighbours (Å) after each atom.
Space group R-3m (No. 166, hexagonal axes)
Asymmetric unit:
Ca1 0.0000 0.0000 0.0000 (multiplicity 3)  8 Tl 3.31-3.33
Y1 0.0000 0.0000 0.5000 (multiplicity 3)  8 Tl 3.27-3.29
Ho1 0.0000 0.0000 0.2520 (multiplicity 6)  8 Tl 3.27-3.33
Tl1 0.0000 0.0000 0.1260 (multiplicity 6)  3 Y 3.29, 4 Ho 3.32-3.33, 1 Ca 3.33
Tl2 0.0000 0.0000 0.3763 (multiplicity 6)  4 Ho 3.27-3.29, 1 Y 3.27, 3 Ca 3.31

Computed, not measured: a relaxed CaHo6Tm2 crystal at the GGA-PBE level of DFT.

Properties
The formation energy comes out at 0.1271 eV/atom. The total energy comes out at -4.14 eV/atom. The theoretical density comes out at 8.0 g/cm³.

abc: 16.9651 11.6714 5.8184
angles: 90.00 97.65 90.00
With the nearest neighbours (Å) after each atom.
Space group C2/c (No. 15)
Asymmetric unit:
Ca1 0.0000 0.1501 0.2500 (multiplicity 4)  8 Ho 3.47-3.54
Ho1 0.0639 0.3990 0.5504 (multiplicity 8)  3 Ho 3.20-3.41, 3 Tm 3.43-3.48, 1 Ca 3.49
Ho2 0.1098 0.1091 0.7905 (multiplicity 8)  2 Ho 3.25-3.41, 1 Tm 3.35, 3 Ca 3.47-3.54
Ho3 0.2334 0.1038 0.3734 (multiplicity 8)  3 Ho 3.25-3.41, 4 Tm 3.38-3.42
Tm1 0.1688 0.3468 0.0869 (multiplicity 8)  8 Ho 3.35-3.48

Computed, not measured: a relaxed Ca3Ho5Tm12 crystal at the GGA-PBE level of DFT.

Properties
The formation energy comes out at 1.1169 eV/atom. The total energy comes out at -3.01 eV/atom. The theoretical density comes out at 5.7 g/cm³.

abc: 19.0136 19.0136 19.0136
angles: 90.00 90.00 90.00
With the nearest neighbours (Å) after each atom.
Space group Ia-3d (No. 230)
Asymmetric unit:
Ca1 0.0000 0.2500 0.1250 (multiplicity 24)  8 Tm 3.29-3.50
Ho1 0.0000 0.0000 0.0000 (multiplicity 16)  6 Tm 3.13
Ho2 0.0000 0.2500 0.3750 (multiplicity 24)  4 Tm 3.39
Tm1 0.0041 0.0784 0.6450 (multiplicity 96)  2 Ho 3.13-3.39, 2 Ca 3.29-3.50, 3 Tm 3.43-3.48